Material: Ca4CdAg2Pb
Method: DFT, PBE-GGA
State: relaxed

Cell: 5.339 5.339 9.421 Å, 73.54 73.54 60.00°
Fractional positions:
Ca1 0.624 0.624 0.128
Ca2 0.376 0.376 0.872
Ag1 0.255 0.255 0.236
Pb1 0.500 0.500 0.500
Cd1 0.000 0.000 0.000
Ca3 0.875 0.875 0.375
Ag2 0.745 0.745 0.764
Ca4 0.125 0.125 0.625

Values from the calculation:
formation energy from the elements = -395 meV per atom
total DFT energy (no corrections) = -2.69 eV per atom
total magnetic moment = 0.00 μB/atom


Material: Ca4CdAgPb2
Method: DFT, PBE-GGA
State: relaxed

Cell: 5.433 5.433 9.400 Å, 73.20 73.20 60.00°
Fractional positions:
Ca1 0.377 0.377 0.868
Pb1 0.749 0.749 0.754
Ag1 0.500 0.500 0.500
Cd1 0.000 0.000 0.000
Ca2 0.127 0.127 0.619
Ca3 0.623 0.623 0.132
Ca4 0.873 0.873 0.381
Pb2 0.251 0.251 0.246

Values from the calculation:
formation energy from the elements = -489 meV per atom
total DFT energy (no corrections) = -2.89 eV per atom
total magnetic moment = 0.00 μB/atom


Material: Ca4CdAgPd2
Method: DFT, PBE-GGA
State: relaxed

Cell: 5.171 5.171 8.942 Å, 73.19 73.19 60.00°
Fractional positions:
Ca1 0.127 0.127 0.618
Ca2 0.378 0.378 0.867
Ca3 0.622 0.622 0.133
Ca4 0.873 0.873 0.382
Ag1 0.500 0.500 0.500
Pd1 0.253 0.253 0.242
Cd1 0.000 0.000 0.000
Pd2 0.747 0.747 0.758

Values from the calculation:
formation energy from the elements = -478 meV per atom
total DFT energy (no corrections) = -3.25 eV per atom
total magnetic moment = 0.00 μB/atom


Material: Ca2Cd6AgPd
Method: DFT, PBE-GGA
State: relaxed

Cell: 7.046 7.046 12.783 Å, 74.00 74.00 60.00°
Fractional positions:
Cd1 0.073 0.664 0.600
Cd2 0.336 0.927 0.400
Pd1 0.000 0.000 0.000
Cd3 0.664 0.664 0.600
Cd4 0.223 0.657 0.897
Ca1 0.282 0.282 0.154
Cd5 0.927 0.336 0.400
Cd6 0.657 0.223 0.897
Cd7 0.223 0.223 0.897
Ag1 0.426 0.426 0.723
Pd2 0.500 0.500 0.500
Ca2 0.892 0.892 0.325
Ag2 0.574 0.574 0.277
Cd8 0.664 0.073 0.600
Cd9 0.343 0.777 0.103
Ca3 0.718 0.718 0.846
Ca4 0.108 0.108 0.675
Cd10 0.336 0.336 0.400
Cd11 0.777 0.343 0.103
Cd12 0.777 0.777 0.103

Values from the calculation:
formation energy from the elements = -177 meV per atom
total DFT energy (no corrections) = -1.93 eV per atom
total magnetic moment = 0.00 μB/atom


Material: Ca2CdAg2Pd5
Method: DFT, PBE-GGA
State: relaxed

Cell: 4.098 9.727 9.727 Å, 90.00 90.00 90.00°
Fractional positions:
Pd1 0.500 0.500 0.000
Pd2 0.500 0.562 0.699
Ag1 0.000 0.126 0.626
Ca1 0.000 0.173 0.327
Ag2 0.000 0.374 0.126
Pd3 0.500 0.062 0.801
Pd4 0.500 0.699 0.438
Pd5 0.500 0.438 0.301
Pd6 0.500 0.301 0.562
Pd7 0.500 0.000 0.500
Pd8 0.500 0.938 0.199
Ca2 0.000 0.327 0.827
Cd1 0.000 0.000 0.000
Cd2 0.000 0.500 0.500
Pd9 0.500 0.801 0.938
Ca3 0.000 0.673 0.173
Ag3 0.000 0.874 0.374
Ca4 0.000 0.827 0.673
Ag4 0.000 0.626 0.874
Pd10 0.500 0.199 0.062

Values from the calculation:
formation energy from the elements = -411 meV per atom
total DFT energy (no corrections) = -4.07 eV per atom
total magnetic moment = 0.00 μB/atom


Material: Ca2Cd12Ag3Pd
Method: DFT, PBE-GGA
State: relaxed

Cell: 14.426 14.426 14.426 Å, 23.98 23.98 23.98°
Fractional positions:
Cd1 0.115 0.115 0.613
Cd2 0.613 0.115 0.115
Cd3 0.123 0.607 0.607
Cd4 0.393 0.393 0.877
Ag1 0.000 0.500 0.000
Ca1 0.351 0.351 0.351
Cd5 0.115 0.613 0.115
Cd6 0.885 0.387 0.885
Cd7 0.607 0.607 0.123
Cd8 0.877 0.393 0.393
Pd1 0.000 0.000 0.000
Cd9 0.607 0.123 0.607
Ag2 0.500 0.000 0.000
Cd10 0.885 0.885 0.387
Ag3 0.000 0.000 0.500
Cd11 0.393 0.877 0.393
Ca2 0.649 0.649 0.649
Cd12 0.387 0.885 0.885

Values from the calculation:
formation energy from the elements = -89 meV per atom
total DFT energy (no corrections) = -1.69 eV per atom
total magnetic moment = 0.00 μB/atom


Material: Ca4CdAg2Pd
Method: DFT, PBE-GGA
State: relaxed

Cell: 5.246 5.246 9.026 Å, 73.11 73.11 60.00°
Fractional positions:
Ca1 0.131 0.131 0.608
Ca2 0.869 0.869 0.392
Ca3 0.618 0.618 0.145
Ag1 0.745 0.745 0.764
Cd1 0.000 0.000 0.000
Ca4 0.382 0.382 0.855
Ag2 0.255 0.255 0.236
Pd1 0.500 0.500 0.500

Values from the calculation:
formation energy from the elements = -402 meV per atom
total DFT energy (no corrections) = -2.88 eV per atom
total magnetic moment = 0.00 μB/atom


Material: Ca2Cd2AgPd5
Method: DFT, PBE-GGA
State: relaxed

Cell: 3.995 9.956 9.956 Å, 90.00 90.00 90.00°
Fractional positions:
Pd1 0.500 0.000 0.500
Pd2 0.500 0.562 0.696
Cd1 0.000 0.873 0.373
Ca1 0.000 0.673 0.173
Pd3 0.500 0.304 0.562
Cd2 0.000 0.373 0.127
Pd4 0.500 0.062 0.804
Ca2 0.000 0.327 0.827
Ag1 0.000 0.000 0.000
Cd3 0.000 0.127 0.627
Pd5 0.500 0.804 0.938
Pd6 0.500 0.438 0.304
Ca3 0.000 0.173 0.327
Pd7 0.500 0.938 0.196
Ag2 0.000 0.500 0.500
Cd4 0.000 0.627 0.873
Ca4 0.000 0.827 0.673
Pd8 0.500 0.500 0.000
Pd9 0.500 0.196 0.062
Pd10 0.500 0.696 0.438

Values from the calculation:
formation energy from the elements = -392 meV per atom
total DFT energy (no corrections) = -3.86 eV per atom
total magnetic moment = 0.00 μB/atom